(1)
Entry from the Alexandria database: a relaxed structure of NaHgIF2 (PBE).

## Properties
Magnetic moment in Bohr magnetons per cell: 0.00

POSCAR file:
```
NaHgIF2
1.0
6.654 0.000 0.000
0.000 4.543 0.000
-1.384 0.000 7.734
Na Hg I F
2 2 2 4
direct
0.116 0.250 0.400 Na
0.884 0.750 0.600 Na
0.186 0.250 0.902 Hg
0.814 0.750 0.098 Hg
0.488 0.750 0.248 I
0.512 0.250 0.752 I
0.003 0.750 0.893 F
0.060 0.750 0.375 F
0.940 0.250 0.625 F
0.997 0.250 0.107 F
```

***

(2)
Entry from the Alexandria database: a relaxed structure of Ba3TbAu2O6 (PBE).

## Properties
Magnetic moment in Bohr magnetons per cell: 0.00

POSCAR file:
```
Ba3TbAu2O6
1.0
6.228 0.000 0.000
-3.114 5.393 0.000
0.000 0.000 6.936
Ba Tb Au O
3 1 2 6
direct
0.000 0.000 0.000 Ba
0.333 0.667 0.630 Ba
0.667 0.333 0.370 Ba
0.000 0.000 0.500 Tb
0.333 0.667 0.132 Au
0.667 0.333 0.868 Au
0.165 0.331 0.309 O
0.165 0.835 0.309 O
0.331 0.165 0.691 O
0.669 0.835 0.309 O
0.835 0.165 0.691 O
0.835 0.669 0.691 O
```

***

no.,raw formation energy (eV per formula unit),calculated total energy (eV/atom)
1,-7.8,-2.951
2,-21.0,-5.639